Density functional theory data (PBE+U) for a relaxed structure of KNiS2O6.

Computed properties:
The value obtained for the uncorrected energy is -5.433 eV/atom. The spin magnetization is 0.99 μB/cell. As for the density: 2.92 g/cm³. As for the density of states at the Fermi level: 0.36 states/eV/cell.

abc: 5.109 5.109 7.123
angles: 68.98 68.98 60.00
Fractional coordinates of all 10 atoms:
K: 0.000 0.000 0.000
Ni: 0.500 0.500 0.500
S: 0.747 0.747 0.760
S: 0.253 0.253 0.240
O: 0.075 0.517 0.687
O: 0.721 0.075 0.687
O: 0.483 0.279 0.313
O: 0.925 0.483 0.313
O: 0.279 0.925 0.313
O: 0.517 0.721 0.687